[1]
An optimized crystal structure of SrAc2Ge, computed with PBE.

Structure (POSCAR):
```
SrAc2Ge
1.0
4.472 -0.190 0.000
-1.938 7.074 0.000
0.000 0.000 9.904
Sr Ac Ge
2 4 2
Cartesian
0.254 5.998 2.476 Sr
2.279 0.885 7.428 Sr
0.089 2.086 4.368 Ac
2.445 4.797 5.536 Ac
2.445 4.797 9.320 Ac
0.089 2.086 0.584 Ac
2.387 3.487 2.476 Ge
0.147 3.397 7.428 Ge
```

DFT total energy = -31.7 eV/cell
Symmetry = Cmcm
Density = 6.59 g/cm3

[2]
An optimized crystal structure of SrAcGe4, computed with PBE.

Structure (POSCAR):
```
SrAcGe4
1.0
5.914 0.000 0.000
2.957 5.122 0.000
2.957 1.707 4.829
Sr Ac Ge
1 1 4
Cartesian
2.957 1.707 1.207 Sr
0.000 0.000 0.000 Ac
5.914 3.415 0.595 Ge
5.914 1.700 3.021 Ge
7.400 4.272 3.021 Ge
4.429 4.272 3.021 Ge
```

DFT total energy = -26.5 eV/cell
Symmetry = F-43m
Density = 6.87 g/cm3

[3]
An optimized crystal structure of SrAcGe, computed with PBE.

Structure (POSCAR):
```
SrAcGe
1.0
-0.416 4.883 -2.242
-0.397 0.482 -5.353
-4.655 1.555 -2.228
Sr Ac Ge
1 1 1
Cartesian
-2.734 3.460 -4.912 Sr
0.000 0.000 0.000 Ac
-1.367 1.730 -2.456 Ge
```

DFT total energy = -11.7 eV/cell
Symmetry = F-43m
Density = 5.81 g/cm3

[4]
An optimized crystal structure of SrAcGe3, computed with PBE.

Structure (POSCAR):
```
SrAcGe3
1.0
-2.304 -3.095 -1.799
3.589 -2.898 0.391
-6.359 -2.501 12.448
Sr Ac Ge
2 2 6
Cartesian
-1.494 -4.570 7.258 Sr
-3.580 -3.924 3.782 Sr
-1.239 -1.347 1.386 Ac
-3.835 -7.147 9.653 Ac
-4.031 -3.763 9.120 Ge
-1.043 -4.730 1.919 Ge
-4.906 -4.521 11.544 Ge
-0.167 -3.973 -0.505 Ge
-4.679 -4.875 6.826 Ge
-0.394 -3.618 4.213 Ge
```

DFT total energy = -45.3 eV/cell
Symmetry = Cmcm
Density = 6.41 g/cm3

[5]
An optimized crystal structure of SrAc2Ge, computed with PBE.

Structure (POSCAR):
```
SrAc2Ge
1.0
4.403 0.000 0.000
2.202 3.813 0.000
2.202 1.271 10.952
Sr Ac Ge
1 2 1
Cartesian
4.403 2.542 5.476 Sr
2.202 1.271 1.811 Ac
6.605 3.813 9.141 Ac
0.000 0.000 0.000 Ge
```

DFT total energy = -15.6 eV/cell
Symmetry = R-3m
Density = 5.55 g/cm3

[6]
An optimized crystal structure of SrAc4Ge4, computed with PBE.

Structure (POSCAR):
```
SrAc4Ge4
1.0
6.520 0.000 0.000
0.000 9.783 0.000
0.000 0.000 9.783
Sr Ac Ge
2 8 8
Cartesian
0.000 0.000 0.000 Sr
3.260 4.892 4.892 Sr
2.413 3.129 8.894 Ac
5.672 5.781 8.021 Ac
2.413 6.654 0.890 Ac
0.847 1.762 5.781 Ac
4.107 8.894 6.654 Ac
0.847 8.021 4.002 Ac
5.672 4.002 1.762 Ac
4.107 0.890 3.129 Ac
4.199 7.499 3.569 Ge
4.199 2.284 6.214 Ge
0.939 8.461 7.176 Ge
5.581 2.607 8.461 Ge
5.581 7.176 1.322 Ge
2.321 3.569 2.284 Ge
2.321 6.214 7.499 Ge
0.939 1.322 2.607 Ge
```

DFT total energy = -81.9 eV/cell
Symmetry = P4_2/n
Density = 6.85 g/cm3